The following is a DFT calculation (PBE-GGA) of crystalline ZrTlP2O at its relaxed geometry.

Lattice parameters (Å, degrees): 5.2732 5.2732 4.0347 90.00 90.00 90.00
With the nearest neighbours (Å) after each atom.
Sites, in units of the cell vectors:
Zr: 0.0000 0.0000 0.0000  2 O 2.02
Tl: 0.5000 0.5000 0.5000  8 P 3.32
P: 0.0000 0.5000 0.0000  2 Zr 2.64
P: 0.5000 0.0000 0.0000  2 Zr 2.64
O: 0.0000 0.0000 0.5000  2 Zr 2.02

Summary:
distance to the lowest polymorph of the same formula	0	meV per atom
ΔE_f (raw)	-255	kJ/mol of formula units
magnetic moment	0.00	μB per formula unit
SG	P4/mmm
final energy	-5.867	eV per atom

***

The following is a DFT calculation (PBE-GGA) of crystalline EuBRh2 at its relaxed geometry.

Lattice parameters (Å, degrees): 6.8972 6.8972 6.8972 28.61 28.61 28.61
With the nearest neighbours (Å) after each atom.
Sites, in units of the cell vectors:
Eu: 0.0000 0.0000 0.0000  6 Rh 3.06, 6 Eu 3.41
B: 0.5000 0.5000 0.5000  6 Rh 2.19
Rh: 0.2151 0.2151 0.2151  3 B 2.19
Rh: 0.7849 0.7849 0.7849  3 B 2.19

Summary:
magnetic moment	6.81	μB per formula unit
energy of formation from the pure elements	-0.92	eV/f.u.
SG	R-3m
final energy	-8.144	eV per atom

***

The following is a DFT calculation (PBE-GGA) of crystalline LaCo at its relaxed geometry.

Lattice parameters (Å, degrees): 7.6451 7.6451 7.6451 30.57 30.57 30.57
With the nearest neighbours (Å) after each atom.
Sites, in units of the cell vectors:
La: 0.0847 0.0847 0.0847  6 Co 2.96-2.99
La: 0.9153 0.9153 0.9153  6 Co 2.96-2.99
Co: 0.3323 0.3323 0.3323  3 Co 2.33
Co: 0.6677 0.6677 0.6677  3 Co 2.33

Summary:
magnetic moment	0.00	μB per formula unit
energy of formation from the pure elements	-0.25	eV/f.u.
SG	R-3m
final energy	-6.140	eV per atom

***

The following is a DFT calculation (PBE-GGA) of crystalline CsGaPd2 at its relaxed geometry.

Lattice parameters (Å, degrees): 9.0762 9.0762 9.0762 144.78 144.78 50.67
With the nearest neighbours (Å) after each atom.
Sites, in units of the cell vectors:
Cs: 0.0000 0.0000 0.0000  8 Pd 3.69-3.70, 4 Ga 3.88
Cs: 0.7500 0.2500 0.5000  8 Pd 3.69-3.70, 4 Ga 3.88
Ga: 0.2500 0.7500 0.5000  4 Pd 2.47
Ga: 0.5000 0.5000 0.0000  4 Pd 2.47
Pd: 0.3738 0.6250 0.2488  2 Ga 2.47, 2 Pd 2.75
Pd: 0.3750 0.6238 0.7488  2 Ga 2.47, 2 Pd 2.75
Pd: 0.3762 0.1250 0.7512  2 Ga 2.47, 2 Pd 2.75
Pd: 0.8750 0.6262 0.2512  2 Ga 2.47, 2 Pd 2.75

Summary:
magnetic moment	0.00	μB per formula unit
energy of formation from the pure elements	-0.59	eV/f.u.
SG	I-42d
final energy	-3.715	eV per atom

***

The following is a DFT calculation (PBE-GGA) of crystalline SbSe2I at its relaxed geometry.

Lattice parameters (Å, degrees): 6.9577 6.9577 6.9577 111.51 111.51 105.47
With the nearest neighbours (Å) after each atom.
Sites, in units of the cell vectors:
Sb: 0.0000 0.0000 0.0000  4 Se 2.71
Sb: 0.7500 0.2500 0.5000  4 Se 2.71
Se: 0.0734 0.6250 0.9484  2 Sb 2.71
Se: 0.3750 0.3234 0.4484  2 Sb 2.71
Se: 0.6766 0.1250 0.0516  2 Sb 2.71
Se: 0.8750 0.9266 0.5516  2 Sb 2.71
I: 0.2500 0.7500 0.5000  4 Se 3.24
I: 0.5000 0.5000 0.0000  4 Se 3.24

Summary:
distance to the lowest polymorph of the same formula	201	meV per atom
ΔE_f (raw)	48	kJ/mol of formula units
magnetic moment	0.00	μB per formula unit
SG	I-42d
final energy	-3.035	eV per atom

***

The following is a DFT calculation (PBE-GGA) of crystalline KCaNb at its relaxed geometry.

Lattice parameters (Å, degrees): 6.6791 6.6791 12.0023 90.00 90.00 120.00
With the nearest neighbours (Å) after each atom.
Sites, in units of the cell vectors:
K: 0.3333 0.6667 0.2500  3 Ca 3.86
K: 0.6667 0.3333 0.7500  3 Ca 3.86
Ca: 0.0000 0.0000 0.2500  2 Nb 3.00
Ca: 0.0000 0.0000 0.7500  2 Nb 3.00
Nb: 0.0000 0.0000 0.0000  2 Ca 3.00
Nb: 0.0000 0.0000 0.5000  2 Ca 3.00

Summary:
distance to the lowest polymorph of the same formula	1788	meV per atom
magnetic moment	5.84	μB per formula unit
energy of formation from the pure elements	6.21	eV/f.u.
SG	P6_3/mmc
final energy	-2.321	eV per atom

***

The following is a DFT calculation (PBE-GGA) of crystalline RbTm4Ga3O12 at its relaxed geometry.

Lattice parameters (Å, degrees): 7.0500 7.0500 7.0500 109.47 109.47 109.47
With the nearest neighbours (Å) after each atom.
Sites, in units of the cell vectors:
Rb: 0.0000 0.0000 0.0000  12 O 2.99
Tm: 0.0000 0.0000 0.5000  6 O 2.25
Tm: 0.0000 0.5000 0.0000  6 O 2.25
Tm: 0.5000 0.0000 0.0000  6 O 2.25
Tm: 0.5000 0.5000 0.5000  6 O 2.25
Ga: 0.0000 0.5000 0.5000  4 O 1.92
Ga: 0.5000 0.0000 0.5000  4 O 1.92
Ga: 0.5000 0.5000 0.0000  4 O 1.92
O: 0.1626 0.4923 0.3297  1 Ga 1.92
O: 0.1626 0.8329 0.6703  1 Ga 1.92
O: 0.1671 0.3297 0.8374  1 Ga 1.92
O: 0.3297 0.1626 0.4923  1 Ga 1.92
O: 0.3297 0.8374 0.1671  1 Ga 1.92
O: 0.4923 0.3297 0.1626  1 Ga 1.92
O: 0.5077 0.6703 0.8374  1 Ga 1.92
O: 0.6703 0.1626 0.8329  1 Ga 1.92
O: 0.6703 0.8374 0.5077  1 Ga 1.92
O: 0.8329 0.6703 0.1626  1 Ga 1.92
O: 0.8374 0.1671 0.3297  1 Ga 1.92
O: 0.8374 0.5077 0.6703  1 Ga 1.92

Summary:
ΔE_f (raw)	-4697	kJ/mol of formula units
magnetic moment	2.06	μB per formula unit
SG	Im-3
final energy	-6.806	eV per atom

***

The following is a DFT calculation (PBE-GGA) of crystalline LaHfPd2 at its relaxed geometry.

Lattice parameters (Å, degrees): 5.6749 5.6749 5.6749 48.01 48.01 48.01
With the nearest neighbours (Å) after each atom.
Sites, in units of the cell vectors:
La: 0.0000 0.0000 0.0000  8 Pd 3.17-3.24
Hf: 0.5000 0.5000 0.5000  6 Pd 2.75
Pd: 0.2112 0.2112 0.2112  3 Hf 2.75, 3 Pd 2.98
Pd: 0.7888 0.7888 0.7888  3 Hf 2.75, 3 Pd 2.98

Summary:
distance to the lowest polymorph of the same formula	35	meV per atom
magnetic moment	0.00	μB per formula unit
energy of formation from the pure elements	-2.63	eV/f.u.
SG	R-3m
final energy	-6.973	eV per atom